(1)
GGA-PBE CsPu2PbCl8, relaxed; raw formation energy = -1709 meV/atom
1.0
6.8035 0.0000 0.0000
0.0000 8.8672 0.0000
-0.1424 0.0000 7.0445
Cs Pu Pb Cl
1 2 1 8
Cartesian
0.0000 0.0000 0.0000
3.3306 2.2582 3.5223
3.3306 6.6090 3.5223
0.0000 4.4336 0.0000
1.7655 2.5145 1.2621
1.7655 6.3527 1.2621
1.7865 4.4336 4.6072
1.8329 0.0000 4.3069
4.8282 0.0000 2.7376
4.8746 4.4336 2.4373
4.8956 2.5145 5.7824
4.8956 6.3527 5.7824

(2)
GGA-PBE Cs2PuPbCl6, relaxed; raw formation energy = -1688 meV/atom
1.0
8.0506 0.0000 0.0000
0.0000 11.4188 0.0000
0.0000 0.0000 8.1013
Cs Pu Pb Cl
4 2 2 12
Cartesian
2.0126 0.0602 1.9758
2.0126 5.6492 1.9758
6.0379 5.7696 6.1255
6.0379 11.3586 6.1255
2.0126 8.5641 6.1038
6.0379 2.8547 1.9974
2.0126 2.8547 6.0461
6.0379 8.5641 2.0552
0.0199 8.5641 4.1589
0.0456 8.5641 8.0805
2.0126 5.7787 6.1339
2.0126 11.3495 6.1339
3.9797 8.5641 8.0805
4.0054 8.5641 4.1589
4.0452 2.8547 3.9424
4.0709 2.8547 0.0208
6.0379 0.0693 1.9674
6.0379 5.6401 1.9674
8.0050 2.8547 0.0208
8.0307 2.8547 3.9424

Here are the calculated magnetic moment numbers, same order: 11.00, 6.00 (μB/f.u.).